# PBE PmSbCl, optimized geometry
data_PmSbCl
_chemical_formula_sum 'Pm1 Sb1 Cl1'
_space_group_name_H-M_alt 'P 1'
_space_group_IT_number 1
_cell_length_a 3.508
_cell_length_b 3.508
_cell_length_c 7.798
_cell_angle_alpha 103.00
_cell_angle_beta 103.00
_cell_angle_gamma 90.00
loop_
_space_group_symop_operation_xyz
'x,y,z'
loop_
_atom_site_label
_atom_site_fract_x
_atom_site_fract_y
_atom_site_fract_z
_atom_site_occupancy
Sb1 0.030 0.030 0.061 1
Pm1 0.679 0.679 0.359 1
Cl1 0.290 0.290 0.580 1
# energy above the lowest structure with this stoichiometry	0.2727	eV/atom
# ΔE_f (raw)	-3.50	eV/f.u.
# raw total energy	-4.7400	eV per atom
# D(E_F)	1.371	states/eV/cell
# SG	I4mm



# PBE ScAl2In2, optimized geometry
data_ScAl2In2
_chemical_formula_sum 'Sc2 Al4 In4'
_space_group_name_H-M_alt 'P 1'
_space_group_IT_number 1
_cell_length_a 7.644
_cell_length_b 7.644
_cell_length_c 3.738
_cell_angle_alpha 90.00
_cell_angle_beta 90.00
_cell_angle_gamma 90.00
loop_
_space_group_symop_operation_xyz
'x,y,z'
loop_
_atom_site_label
_atom_site_fract_x
_atom_site_fract_y
_atom_site_fract_z
_atom_site_occupancy
Al1 0.626 0.126 0.000 1
Al2 0.126 0.374 0.000 1
Al3 0.874 0.626 0.000 1
Al4 0.374 0.874 0.000 1
In1 0.173 0.673 0.500 1
In2 0.673 0.827 0.500 1
In3 0.827 0.327 0.500 1
In4 0.327 0.173 0.500 1
Sc1 0.500 0.500 0.000 1
Sc2 0.000 0.000 0.000 1
# energy above the lowest structure with this stoichiometry	0.0000	eV/atom
# raw total energy	-3.8915	eV per atom
# D(E_F)	6.102	states/eV/cell
# DFT formation energy	-33	meV per atom
# SG	P4/mbm